Entry from the Alexandria database: crystalline Pm2Pr2NdY at its relaxed geometry (PBE).

Unit cell a=7.1572 b=5.7931 c=10.0094 alpha=90.00 beta=90.00 gamma=90.00
Sites, in units of the cell vectors:
1 Pm 0.2500 0.0000 0.1656
2 Pm 0.2500 0.5000 0.6671
3 Pm 0.7500 0.0000 0.8344
4 Pm 0.7500 0.5000 0.3329
5 Pr 0.0000 0.5000 0.0000
6 Pr 0.2500 0.0000 0.8271
7 Pr 0.5000 0.5000 0.0000
8 Pr 0.7500 0.0000 0.1729
9 Nd 0.2500 0.5000 0.3380
10 Nd 0.7500 0.5000 0.6620
11 Y 0.0000 0.0000 0.5000
12 Y 0.5000 0.0000 0.5000

Energy of formation from the pure elements in meV/atom: 49